Computed, not measured: an optimized crystal structure of MgFeRhAu at the PBE level of DFT.

**Space-group type**: F-43m (216)
**Spin magnetization**: 3.59 μB per formula unit
**DOS(E_F)**: 3.5 states/eV per cell
**Formation energy**: -0.193 eV per atom
**Volume**: 15.3 Å³/atom
**Crystal system**: cubic

Unit cell a=4.4230 b=4.4230 c=4.4230 alpha=60.00 beta=60.00 gamma=60.00
Sites, in units of the cell vectors:
Mg: 0.0000 0.0000 0.0000
Fe: 0.5000 0.5000 0.5000
Rh: 0.2500 0.2500 0.2500
Au: 0.7500 0.7500 0.7500